1.
The following is a DFT calculation (PBEsol) of a relaxed structure of TmAlCo4. Values from VASP.

## Properties
**Energy of formation from the pure elements**: -260 meV/atom

Geometry as Quantum ESPRESSO input:
```
&SYSTEM
  ibrav = 0, nat = 6, ntyp = 3
/
ATOMIC_SPECIES
Al 26.98 Al.upf
Co 58.93 Co.upf
Tm 168.93 Tm.upf
ATOMIC_POSITIONS crystal
Al 0.0000 0.6667 0.3333
Co 0.5000 0.4964 0.9929
Co 0.0000 0.3333 0.6667
Tm 0.0000 0.0000 0.0000
Co 0.5000 0.4964 0.5036
Co 0.5000 0.0071 0.5036
CELL_PARAMETERS angstrom
-3.6892 -0.9643 -0.3929
1.3092 -3.9286 -2.6504
-0.4259 -0.3609 4.8847
```

2.
The following is a DFT calculation (PBEsol) of a relaxed structure of Fe2SiBr. Values from VASP.

## Properties
**Energy relative to the elements, uncorrected**: 14 kJ per mole of atoms

Geometry as Quantum ESPRESSO input:
```
&SYSTEM
  ibrav = 0, nat = 4, ntyp = 3
/
ATOMIC_SPECIES
Fe 55.84 Fe.upf
Si 28.09 Si.upf
Br 79.90 Br.upf
ATOMIC_POSITIONS crystal
Fe 0.6679 0.1679 0.3358
Si 0.5373 0.5373 0.0746
Br 0.2860 0.7860 0.5721
Fe 0.0088 0.0088 0.0176
CELL_PARAMETERS angstrom
-0.6606 -2.6774 -1.1979
2.1413 -1.5452 2.2727
-5.2972 1.5005 3.3408
```

3.
The following is a DFT calculation (PBEsol) of a relaxed structure of RbNaCdN2. Values from VASP.

## Properties
**Energy relative to the elements, uncorrected**: 182 kJ per mole of atoms

Geometry as Quantum ESPRESSO input:
```
&SYSTEM
  ibrav = 0, nat = 5, ntyp = 4
/
ATOMIC_SPECIES
Rb 85.47 Rb.upf
N 14.01 N.upf
Na 22.99 Na.upf
Cd 112.41 Cd.upf
ATOMIC_POSITIONS crystal
Rb 0.0000 0.0000 0.0000
N 0.0000 0.5000 0.0000
Na 0.0000 0.0000 0.5000
N 0.5000 0.0000 0.0000
Cd 0.5000 0.5000 0.5000
CELL_PARAMETERS angstrom
-2.2936 3.8076 2.5662
-0.7173 -3.1304 4.0038
5.0037 1.5783 2.1304
```

4.
The following is a DFT calculation (PBEsol) of a relaxed structure of Sr2CrRu. Values from VASP.

## Properties
**Energy of formation from the pure elements**: 535 meV/atom

Geometry as Quantum ESPRESSO input:
```
&SYSTEM
  ibrav = 0, nat = 4, ntyp = 3
/
ATOMIC_SPECIES
Sr 87.62 Sr.upf
Cr 52.00 Cr.upf
Ru 101.07 Ru.upf
ATOMIC_POSITIONS crystal
Sr 0.0000 0.0000 0.9235
Cr 0.0000 0.0000 0.5853
Sr 0.5000 0.5000 0.3238
Ru 0.5000 0.5000 0.6674
CELL_PARAMETERS angstrom
3.3582 0.0000 0.0000
0.0000 3.3582 0.0000
0.0000 0.0000 9.0565
```

Number 1: magnetic moment 4.1 μB/cell, volume 80.2 Å³ per cell. Number 2: magnetic moment 4.2 μB/cell, volume 63.0 Å³ per cell. Number 3: magnetic moment 4.0 μB/cell, volume 149.2 Å³ per cell. Number 4: magnetic moment 2.2 μB/cell, volume 102.1 Å³ per cell.